(1)
# CaY2Tl SCAN PBEsol geometry
# * space-group type: P4/mmm (123)
data_CaY2Tl
_chemical_formula_sum 'Ca1 Y2 Tl1'
_symmetry_space_group_name_H-M 'P 1'
_symmetry_Int_Tables_number 1
_symmetry_space_group_name_Hall 'P 1'
_cell_length_a 4.8618
_cell_length_b 4.8618
_cell_length_c 4.7564
_cell_angle_alpha 90.00
_cell_angle_beta 90.00
_cell_angle_gamma 90.00
loop_
_atom_site_label
_atom_site_fract_x
_atom_site_fract_y
_atom_site_fract_z
Ca1 0.0000 0.0000 0.0000
Y1 0.0000 0.5000 0.5000
Y2 0.5000 0.0000 0.5000
Tl1 0.5000 0.5000 0.0000


(2)
# Ca2YTl2 SCAN PBEsol geometry
# * space-group type: P4/mbm (127)
data_Ca2YTl2
_chemical_formula_sum 'Ca4 Y2 Tl4'
_symmetry_space_group_name_H-M 'P 1'
_symmetry_Int_Tables_number 1
_symmetry_space_group_name_Hall 'P 1'
_cell_length_a 8.5527
_cell_length_b 8.5527
_cell_length_c 3.9925
_cell_angle_alpha 90.00
_cell_angle_beta 90.00
_cell_angle_gamma 90.00
loop_
_atom_site_label
_atom_site_fract_x
_atom_site_fract_y
_atom_site_fract_z
Ca1 0.1638 0.3362 0.0000
Ca2 0.3362 0.8362 0.0000
Ca3 0.6638 0.1638 0.0000
Ca4 0.8362 0.6638 0.0000
Y1 0.0000 0.0000 0.5000
Y2 0.5000 0.5000 0.5000
Tl1 0.1360 0.6360 0.5000
Tl2 0.3640 0.1360 0.5000
Tl3 0.6360 0.8640 0.5000
Tl4 0.8640 0.3640 0.5000


Number 1: DOS at the Fermi energy 2.02 states/eV/cell, E -138.9 eV for the cell shown. Number 2: DOS at the Fermi energy 4.98 states/eV/cell, E -388.8 eV for the cell shown.